# 1
Material: Pr3ErTh2P6
Method: DFT, PBE
State: optimized geometry Values from VASP.

```
&SYSTEM
  ibrav = 0, nat = 12, ntyp = 4
/
ATOMIC_SPECIES
Pr 140.91 Pr.upf
Er 167.26 Er.upf
Th 232.04 Th.upf
P 30.97 P.upf
ATOMIC_POSITIONS crystal
Pr 0.000 0.000 0.000
Pr 0.334 0.334 0.666
Pr 0.666 0.666 0.334
Er 0.000 0.000 0.500
Th 0.335 0.335 0.170
Th 0.665 0.665 0.830
P 0.163 0.163 0.585
P 0.168 0.168 0.079
P 0.499 0.499 0.259
P 0.501 0.501 0.741
P 0.832 0.832 0.921
P 0.837 0.837 0.415
CELL_PARAMETERS angstrom
9.049 -2.075 0.000
9.049 2.075 0.000
-1.940 0.000 8.063
```

Results
ρ = 6.80 g/cm3
DFT formation energy = -1560 meV/atom
uncorrected energy = -7.076 eV per atom
symmetry = No. 12
DOS at the Fermi energy = 4.0 states/eV/f.u.
total moment = 0.00 μB/atom

***

# 2
Material: Pm5Sn5Hg2
Method: DFT, PBE
State: optimized geometry Values from VASP.

```
&SYSTEM
  ibrav = 0, nat = 12, ntyp = 3
/
ATOMIC_SPECIES
Pm 145.00 Pm.upf
Sn 118.71 Sn.upf
Hg 200.59 Hg.upf
ATOMIC_POSITIONS crystal
Pm 0.000 0.000 0.000
Pm 0.104 0.104 0.413
Pm 0.189 0.189 0.825
Pm 0.811 0.811 0.175
Pm 0.896 0.896 0.587
Sn 0.266 0.266 0.333
Sn 0.430 0.430 0.140
Sn 0.500 0.500 0.500
Sn 0.570 0.570 0.860
Sn 0.734 0.734 0.667
Hg 0.362 0.362 0.774
Hg 0.638 0.638 0.226
CELL_PARAMETERS angstrom
8.257 -2.367 0.000
8.257 2.367 0.000
-6.867 0.000 8.656
```

Results
ρ = 8.44 g/cm3
DFT formation energy = -619 meV/atom
uncorrected energy = -4.317 eV per atom
symmetry = No. 12
DOS at the Fermi energy = 4.8 states/eV/f.u.
offset from the most stable computed form = 0.0 kJ/mol of atoms
total moment = 0.00 μB/atom

***

# 3
Material: DyEr3Sn2
Method: DFT, PBE
State: optimized geometry Values from VASP.

```
&SYSTEM
  ibrav = 0, nat = 12, ntyp = 3
/
ATOMIC_SPECIES
Dy 162.50 Dy.upf
Er 167.26 Er.upf
Sn 118.71 Sn.upf
ATOMIC_POSITIONS crystal
Dy 0.114 0.114 0.126
Dy 0.886 0.886 0.874
Er 0.055 0.055 0.689
Er 0.308 0.308 0.109
Er 0.354 0.354 0.516
Er 0.646 0.646 0.484
Er 0.692 0.692 0.891
Er 0.945 0.945 0.311
Sn 0.246 0.246 0.718
Sn 0.493 0.493 0.148
Sn 0.507 0.507 0.852
Sn 0.754 0.754 0.282
CELL_PARAMETERS angstrom
8.886 -2.252 0.000
8.886 2.252 0.000
-3.781 0.000 8.675
```

Results
ρ = 8.62 g/cm3
DFT formation energy = -478 meV/atom
uncorrected energy = -4.861 eV per atom
symmetry = No. 12
DOS at the Fermi energy = 6.5 states/eV/f.u.
total moment = 0.11 μB/atom